The following is a GGA-PBEsol calculation of CaIn3 after structural relaxation, from the Alexandria database.

Summary:
**V**: 25.76 A^3/atom
**Formation energy**: -6.4 kcal/mol of atoms
**Total moment**: 0.0 μB per cell

Cell lengths 10.0568, 8.5380, 4.7998 Å; angles 90.00, 90.00, 90.00 degrees
With the nearest neighbours (Å) after each atom.
Space group Cmcm (No. 63)
Symmetry-distinct sites (fractional):
Ca  0.0000  0.1616  0.2500 (multiplicity 4)  10 In 3.18-3.34
In  0.0000  0.4052  0.7500 (multiplicity 4)  2 In 2.89, 2 Ca 3.18
In  0.2257  0.1258  0.7500 (multiplicity 8)  6 In 3.22-3.34, 4 Ca 3.30-3.34